A geometry-optimized NaEu2Hf structure, computed with PBE.

Energy of formation in eV/atom: 0.5066
Calculated volume in Å³/cell: 126.4
Total energy in eV/atom: -7.45

a = 3.369 Å, b = 3.369 Å, c = 13.008 Å
α = 82.56°, β = 82.56°, γ = 60.00°
Each line ends with the local moment (μB).
Atoms (fractional coordinates):
Eu 0.080 0.080 0.759  7.16
Eu 0.920 0.920 0.241  7.16
Na 0.500 0.500 0.500  0.00
Hf 0.000 0.000 0.000  0.25